First-principles (GGA-PBE) data for a relaxed structure of CdRe2Hg, as listed in Alexandria.

Volume (Å³/cell): 70.4
Density of states at the Fermi level (states/eV/cell): 4.45
Calculated total energy (eV/atom): -5.56
Calculated formation energy (eV per atom): 0.972
Total magnetization (μB/atom): 0.0002
Offset from the most stable computed form (meV/atom): 659

Cell lengths 5.4138, 5.4138, 5.4138 Å; angles 137.95, 137.95, 60.98 degrees
Sites, in units of the cell vectors:
Cd 0.0000 0.0000 0.0000
Re 0.2500 0.7500 0.5000
Re 0.7500 0.2500 0.5000
Hg 0.5000 0.5000 0.0000


First-principles (GGA-PBE) data for a relaxed structure of Cd2ReHg, as listed in Alexandria.

Volume (Å³/cell): 79.6
Density of states at the Fermi level (states/eV/cell): 2.36
Calculated total energy (eV/atom): -3.11
Calculated formation energy (eV per atom): 0.531
Total magnetization (μB/atom): 0.1912

Cell lengths 2.9203, 2.9203, 9.3331 Å; angles 90.00, 90.00, 90.00 degrees
Sites, in units of the cell vectors:
Cd 0.0000 0.0000 0.2247
Cd 0.0000 0.0000 0.7753
Re 0.5000 0.5000 0.0000
Hg 0.5000 0.5000 0.5000


First-principles (GGA-PBE) data for a relaxed structure of CdReHg3, as listed in Alexandria.

Volume (Å³/cell): 156.9
Density of states at the Fermi level (states/eV/cell): 3.56
Calculated total energy (eV/atom): -1.95
Calculated formation energy (eV per atom): 0.900
Total magnetization (μB/atom): 0.5180
Offset from the most stable computed form (meV/atom): 0

Cell lengths 5.3938, 5.3938, 5.3938 Å; angles 90.00, 90.00, 90.00 degrees
Sites, in units of the cell vectors:
Cd 0.0000 0.0000 0.0000
Re 0.5000 0.5000 0.5000
Hg 0.0000 0.5000 0.5000
Hg 0.5000 0.0000 0.5000
Hg 0.5000 0.5000 0.0000


First-principles (GGA-PBE) data for a relaxed structure of CdRe2Hg, as listed in Alexandria.

Volume (Å³/cell): 69.4
Density of states at the Fermi level (states/eV/cell): 3.77
Calculated total energy (eV/atom): -5.71
Calculated formation energy (eV per atom): 0.821
Total magnetization (μB/atom): 0.0000
Offset from the most stable computed form (meV/atom): 508

Cell lengths 9.8560, 9.8560, 9.8560 Å; angles 16.76, 16.76, 16.76 degrees
Sites, in units of the cell vectors:
Cd 0.0000 0.0000 0.0000
Re 0.2501 0.2501 0.2501
Re 0.7499 0.7499 0.7499
Hg 0.5000 0.5000 0.5000